(one)
# IBrCl3

An optimized crystal structure of IBrCl3 (PBE, Alexandria).

a = 9.765 Å, b = 9.765 Å, c = 9.765 Å
α = 99.62°, β = 145.01°, γ = 90.78°
Positions (direct):
I 0.102 0.250 0.352
I 0.898 0.750 0.648
Br 0.603 0.353 0.750
Br 0.603 0.853 0.250
Cl 0.046 0.432 0.114
Cl 0.111 0.258 0.618
Cl 0.111 0.993 0.353
Cl 0.318 0.932 0.886
Cl 0.640 0.493 0.382
Cl 0.640 0.758 0.647

***

(two)
# IBrCl3

An optimized crystal structure of IBrCl3 (PBE, Alexandria).

a = 5.373 Å, b = 5.373 Å, c = 5.373 Å
α = 90.00°, β = 90.00°, γ = 90.00°
Positions (direct):
I 0.000 0.000 0.000
Br 0.500 0.500 0.500
Cl 0.000 0.000 0.500
Cl 0.000 0.500 0.000
Cl 0.500 0.000 0.000

***

Relative energies, in eV/atom, with the most stable structure set to zero: (one) 0.000; (two) 0.132.

***

(one)
# IBr3Cl

An optimized crystal structure of IBr3Cl (PBE, Alexandria).

a = 5.649 Å, b = 5.649 Å, c = 5.649 Å
α = 90.00°, β = 90.00°, γ = 90.00°
Positions (direct):
I 0.000 0.000 0.000
Br 0.000 0.000 0.500
Br 0.000 0.500 0.000
Br 0.500 0.000 0.000
Cl 0.500 0.500 0.500

***

(two)
# IBr3Cl

An optimized crystal structure of IBr3Cl (PBE, Alexandria).

a = 5.472 Å, b = 7.813 Å, c = 11.667 Å
α = 103.96°, β = 97.53°, γ = 90.68°
Positions (direct):
I 0.000 0.000 0.000
I 0.188 0.497 0.513
Br 0.002 0.245 0.204
Br 0.056 0.786 0.788
Br 0.302 0.279 0.967
Br 0.369 0.244 0.759
Br 0.833 0.787 0.287
Br 0.915 0.789 0.497
Cl 0.437 0.238 0.545
Cl 0.719 0.780 0.057

***

Relative energies, in eV/atom, with the most stable structure set to zero: (one) 0.371; (two) 0.000.

***

(one)
# PIBrCl2

An optimized crystal structure of PIBrCl2 (PBE, Alexandria).

a = 5.258 Å, b = 5.258 Å, c = 5.642 Å
α = 90.00°, β = 90.00°, γ = 90.00°
Positions (direct):
P 0.000 0.000 0.000
I 0.000 0.000 0.500
Br 0.500 0.500 0.000
Cl 0.000 0.500 0.500
Cl 0.500 0.000 0.500

***

(two)
# PIBrCl2

An optimized crystal structure of PIBrCl2 (PBE, Alexandria).

a = 5.057 Å, b = 5.057 Å, c = 5.444 Å
α = 90.00°, β = 90.00°, γ = 90.00°
Positions (direct):
P 0.000 0.000 0.000
I 0.500 0.500 0.000
Br 0.000 0.000 0.500
Cl 0.000 0.500 0.500
Cl 0.500 0.000 0.500

***

Relative energies, in eV/atom, with the most stable structure set to zero: (one) 0.000; (two) 0.071.

***

(one)
# SeIBr2Cl

An optimized crystal structure of SeIBr2Cl (PBE, Alexandria).

a = 5.639 Å, b = 5.639 Å, c = 5.517 Å
α = 90.00°, β = 90.00°, γ = 90.00°
Positions (direct):
Se 0.000 0.000 0.000
I 0.000 0.000 0.500
Br 0.000 0.500 0.500
Br 0.500 0.000 0.500
Cl 0.500 0.500 0.000

***

(two)
# SeIBr2Cl

An optimized crystal structure of SeIBr2Cl (PBE, Alexandria).

a = 5.209 Å, b = 5.209 Å, c = 5.528 Å
α = 90.00°, β = 90.00°, γ = 90.00°
Positions (direct):
Se 0.000 0.000 0.000
I 0.500 0.500 0.000
Br 0.000 0.500 0.500
Br 0.500 0.000 0.500
Cl 0.000 0.000 0.500

***

Relative energies, in eV/atom, with the most stable structure set to zero: (one) 0.000; (two) 0.129.

***

(one)
# InBrCl3

An optimized crystal structure of InBrCl3 (PBE, Alexandria).

a = 5.163 Å, b = 5.163 Å, c = 5.163 Å
α = 90.00°, β = 90.00°, γ = 90.00°
Positions (direct):
In 0.000 0.000 0.000
Br 0.500 0.500 0.500
Cl 0.000 0.000 0.500
Cl 0.000 0.500 0.000
Cl 0.500 0.000 0.000

***

(two)
# InBrCl3

An optimized crystal structure of InBrCl3 (PBE, Alexandria).

a = 5.350 Å, b = 5.350 Å, c = 5.350 Å
α = 90.00°, β = 90.00°, γ = 90.00°
Positions (direct):
In 0.000 0.000 0.000
Br 0.500 0.500 0.500
Cl 0.000 0.500 0.500
Cl 0.500 0.000 0.500
Cl 0.500 0.500 0.000

***

Relative energies, in eV/atom, with the most stable structure set to zero: (one) 0.000; (two) 0.288.

***

(one)
# InBrCl2

An optimized crystal structure of InBrCl2 (PBE, Alexandria).

a = 7.250 Å, b = 7.250 Å, c = 7.250 Å
α = 90.00°, β = 90.00°, γ = 90.00°
Positions (direct):
In 0.000 0.000 0.000
In 0.000 0.500 0.500
In 0.500 0.000 0.500
In 0.500 0.500 0.000
Br 0.000 0.000 0.500
Br 0.000 0.500 0.000
Br 0.500 0.000 0.000
Br 0.500 0.500 0.500
Cl 0.250 0.250 0.250
Cl 0.250 0.250 0.750
Cl 0.250 0.750 0.250
Cl 0.250 0.750 0.750
Cl 0.750 0.250 0.250
Cl 0.750 0.250 0.750
Cl 0.750 0.750 0.250
Cl 0.750 0.750 0.750

***

(two)
# InBrCl2

An optimized crystal structure of InBrCl2 (PBE, Alexandria).

a = 3.514 Å, b = 5.253 Å, c = 13.063 Å
α = 90.00°, β = 90.00°, γ = 90.00°
Positions (direct):
In 0.000 0.000 0.000
In 0.500 0.500 0.500
Br 0.000 0.500 0.656
Br 0.500 0.000 0.156
Cl 0.000 0.000 0.498
Cl 0.000 0.500 0.358
Cl 0.500 0.000 0.858
Cl 0.500 0.500 0.998

***

(three)
# InBrCl2

An optimized crystal structure of InBrCl2 (PBE, Alexandria).

a = 9.048 Å, b = 9.048 Å, c = 5.545 Å
α = 90.00°, β = 90.00°, γ = 90.00°
Positions (direct):
In 0.000 0.000 0.000
In 0.000 0.500 0.250
In 0.500 0.000 0.750
In 0.500 0.500 0.500
Br 0.000 0.000 0.500
Br 0.000 0.500 0.750
Br 0.500 0.000 0.250
Br 0.500 0.500 0.000
Cl 0.123 0.250 0.125
Cl 0.250 0.623 0.375
Cl 0.250 0.877 0.875
Cl 0.377 0.250 0.625
Cl 0.623 0.750 0.625
Cl 0.750 0.123 0.875
Cl 0.750 0.377 0.375
Cl 0.877 0.750 0.125

***

Relative energies, in eV/atom, with the most stable structure set to zero: (one) 0.572; (two) 0.056; (three) 0.000.